1.
{"formula": "Sr3Sn3Rh", "functional": "PBE", "state": "relaxed", "final_energy_ev_per_atom": -4.14, "magmom_total_mub_per_atom": 0.0000, "formation_enthalpy_0k_ev_per_atom": -0.650, "lattice": [[-2.081, 0.723, 4.296], [-6.408, 0.027, -0.396], [-1.836, -14.443, 4.255]], "species": ["Sr", "Sr", "Sr", "Sr", "Sr", "Sr", "Sn", "Sn", "Sn", "Sn", "Sn", "Sn", "Rh", "Rh"], "fractional_positions": [[0.519, 0.348, 0.614], [0.481, 0.652, 0.386], [0.257, 0.251, 0.235], [0.743, 0.749, 0.765], [0.401, 0.280, 0.918], [0.599, 0.720, 0.082], [0.832, 0.796, 0.541], [0.168, 0.204, 0.459], [0.112, 0.853, 0.922], [0.888, 0.147, 0.078], [0.957, 0.843, 0.243], [0.043, 0.157, 0.757], [0.758, 0.090, 0.394], [0.242, 0.910, 0.606]]}

2.
{"formula": "LiReSi2", "functional": "PBE", "state": "relaxed", "final_energy_ev_per_atom": -5.96, "magmom_total_mub_per_atom": 0.0000, "e_form_raw_mev_per_atom": 342, "lattice": [[2.656, 0.000, 0.000], [0.000, 2.656, 0.000], [0.000, 0.000, 8.043]], "species": ["Li", "Re", "Si", "Si"], "fractional_positions": [[0.000, 0.000, 0.494], [0.500, 0.500, 0.765], [0.000, 0.000, 0.999], [0.500, 0.500, 0.242]]}

3.
{"formula": "Ca2AlTcSn", "functional": "PBE", "state": "relaxed", "final_energy_ev_per_atom": -3.48, "magmom_total_mub_per_atom": 0.7579, "formation_enthalpy_0k_ev_per_atom": 0.942, "lattice": [[5.672, 0.000, 0.000], [0.000, 5.077, 0.000], [0.000, 0.000, 5.672]], "species": ["Ca", "Ca", "Al", "Sn", "Tc"], "fractional_positions": [[0.000, 0.000, 0.500], [0.500, 0.000, 0.000], [0.000, 0.000, 0.000], [0.000, 0.500, 0.000], [0.500, 0.500, 0.500]]}

4.
{"formula": "BeNi", "functional": "PBE", "state": "relaxed", "final_energy_ev_per_atom": -5.07, "magmom_total_mub_per_atom": 0.0000, "formation_enthalpy_0k_ev_per_atom": -0.318, "lattice": [[1.249, 4.126, 0.021], [-1.249, 4.126, 0.021], [0.000, 1.693, 5.361]], "species": ["Be", "Be", "Be", "Ni", "Ni", "Ni"], "fractional_positions": [[0.020, 0.020, 0.988], [0.325, 0.325, 0.322], [0.388, 0.388, 0.738], [0.679, 0.679, 0.653], [0.022, 0.022, 0.401], [0.734, 0.734, 0.064]]}

5.
{"formula": "CeNpMnOs", "functional": "PBE", "state": "relaxed", "final_energy_ev_per_atom": -9.56, "magmom_total_mub_per_atom": 1.3643, "formation_enthalpy_0k_ev_per_atom": 0.254, "lattice": [[4.632, 0.000, 0.000], [2.316, 4.012, 0.000], [2.316, 1.337, 3.782]], "species": ["Np", "Mn", "Os", "Ce"], "fractional_positions": [[0.250, 0.250, 0.250], [0.500, 0.500, 0.500], [0.750, 0.750, 0.750], [0.000, 0.000, 0.000]]}

6.
{"formula": "SrIn3Bi2", "functional": "PBE", "state": "relaxed", "final_energy_ev_per_atom": -3.19, "magmom_total_mub_per_atom": 0.0000, "formation_enthalpy_0k_ev_per_atom": -0.245, "lattice": [[-3.930, -3.520, 0.109], [4.782, -5.514, -5.645], [4.644, -1.007, 7.162]], "species": ["Sr", "Sr", "In", "In", "In", "In", "In", "In", "Bi", "Bi", "Bi", "Bi"], "fractional_positions": [[0.163, 0.292, 0.327], [0.837, 0.708, 0.673], [0.689, 0.997, 0.377], [0.077, 0.903, 0.153], [0.397, 0.442, 0.795], [0.603, 0.558, 0.205], [0.923, 0.097, 0.847], [0.311, 0.003, 0.623], [0.478, 0.777, 0.957], [0.522, 0.223, 0.043], [0.193, 0.671, 0.386], [0.807, 0.329, 0.614]]}

7.
{"formula": "Cs2RuCl", "functional": "PBE", "state": "relaxed", "final_energy_ev_per_atom": -2.81, "magmom_total_mub_per_atom": 0.7500, "e_form_raw_mev_per_atom": 397, "lattice": [[0.000, 4.118, 4.118], [4.118, 0.000, 4.118], [4.118, 4.118, 0.000]], "species": ["Cs", "Cs", "Ru", "Cl"], "fractional_positions": [[0.250, 0.250, 0.250], [0.750, 0.750, 0.750], [0.500, 0.500, 0.500], [0.000, 0.000, 0.000]]}

8.
{"formula": "LiAl2OsO", "functional": "PBE", "state": "relaxed", "final_energy_ev_per_atom": -5.16, "magmom_total_mub_per_atom": 0.0000, "e_form_raw_mev_per_atom": -46, "lattice": [[4.956, 0.000, 0.000], [0.000, 3.792, 0.000], [0.000, 0.000, 4.956]], "species": ["Os", "Al", "Al", "O", "Li"], "fractional_positions": [[0.000, 0.000, 0.000], [0.000, 0.000, 0.500], [0.500, 0.000, 0.000], [0.000, 0.500, 0.000], [0.500, 0.500, 0.500]]}

9.
{"formula": "Ac6Si3H", "functional": "PBE", "state": "relaxed", "final_energy_ev_per_atom": -4.78, "magmom_total_mub_per_atom": 0.0000, "lattice": [[-1.952, 1.434, 6.583], [-8.081, 0.868, -2.585], [-1.613, -10.507, 1.512]], "species": ["Ac", "Ac", "Ac", "Ac", "Ac", "Ac", "Ac", "Ac", "Ac", "Ac", "Ac", "Ac", "Si", "Si", "Si", "Si", "Si", "Si", "H", "H"], "fractional_positions": [[0.649, 0.173, 0.934], [0.642, 0.185, 0.564], [0.647, 0.460, 0.263], [0.353, 0.540, 0.737], [0.358, 0.815, 0.436], [0.351, 0.827, 0.066], [0.149, 0.327, 0.434], [0.142, 0.315, 0.064], [0.147, 0.040, 0.763], [0.853, 0.960, 0.237], [0.858, 0.685, 0.936], [0.851, 0.673, 0.566], [0.568, 0.878, 0.742], [0.500, 0.500, 0.000], [0.432, 0.122, 0.258], [0.068, 0.622, 0.242], [0.000, 0.000, 0.500], [0.932, 0.378, 0.758], [0.500, 0.500, 0.500], [0.000, 0.000, 0.000]]}

10.
{"formula": "SrPa2BiO8", "functional": "PBE", "state": "relaxed", "final_energy_ev_per_atom": -8.20, "magmom_total_mub_per_atom": 0.0000, "e_form_raw_mev_per_atom": -2848, "lattice": [[-1.802, -1.535, -4.672], [-3.622, -3.035, 2.262], [-4.656, 5.538, -0.024]], "species": ["Sr", "Pa", "Pa", "Bi", "O", "O", "O", "O", "O", "O", "O", "O"], "fractional_positions": [[0.000, 0.000, 0.500], [0.500, 0.500, 0.750], [0.500, 0.500, 0.250], [0.000, 0.000, 0.000], [0.211, 0.789, 0.229], [0.683, 0.683, 0.000], [0.789, 0.211, 0.229], [0.789, 0.211, 0.771], [0.317, 0.317, 0.000], [0.211, 0.789, 0.771], [0.670, 0.670, 0.500], [0.330, 0.330, 0.500]]}

11.
{"formula": "Pa2Ga6Ni3", "functional": "PBE", "state": "relaxed", "final_energy_ev_per_atom": -5.35, "magmom_total_mub_per_atom": 0.0001, "formation_enthalpy_0k_ev_per_atom": -0.395, "lattice": [[3.929, 0.000, 0.000], [0.000, 7.455, 0.000], [0.000, -3.727, 6.456]], "species": ["Pa", "Pa", "Ga", "Ga", "Ga", "Ga", "Ga", "Ga", "Ni", "Ni", "Ni"], "fractional_positions": [[0.000, 0.667, 0.333], [0.000, 0.333, 0.667], [0.500, 0.692, 0.692], [0.500, 0.000, 0.308], [0.000, 0.199, 0.199], [0.000, 0.801, 0.000], [0.500, 0.308, 0.000], [0.000, 0.000, 0.801], [0.500, 0.374, 0.374], [0.500, 0.626, 0.000], [0.500, 0.000, 0.626]]}

12.
{"formula": "ZrScAl2", "functional": "PBE", "state": "relaxed", "final_energy_ev_per_atom": -5.82, "magmom_total_mub_per_atom": 0.0000, "formation_enthalpy_0k_ev_per_atom": -0.229, "lattice": [[3.182, 0.000, 0.000], [0.000, 3.182, 0.000], [0.000, 0.000, 7.797]], "species": ["Sc", "Al", "Al", "Zr"], "fractional_positions": [[0.000, 0.000, 0.473], [0.000, 0.000, 0.024], [0.500, 0.500, 0.224], [0.500, 0.500, 0.778]]}

Q: Number 12 is which compound?
A: ZrScAl2